Entry 1:
DFT (PBE) results for a geometry-optimized CoGeAs2Au structure.

Properties
formation energy from the elements	0.399	eV per atom
space-group type	P4/mmm (123)

a = 4.4205 Å, b = 5.0785 Å, c = 4.4205 Å
α = 90.00°, β = 90.00°, γ = 90.00°
With the nearest neighbours (Å) after each atom.
Positions (direct):
Ge  0.5000  0.5000  0.5000  4 Au 3.13, 8 As 3.37
Au  0.0000  0.5000  0.0000  2 Co 2.54
As  0.5000  0.0000  0.0000  2 Co 2.21
Co  0.0000  0.0000  0.0000  4 As 2.21
As  0.0000  0.0000  0.5000  2 Co 2.21

=====

Entry 2:
DFT (PBE) results for a geometry-optimized Co2AsIrAu structure.

Properties
formation energy from the elements	1.689	eV per atom
space-group type	P4/mmm (123)

a = 4.5895 Å, b = 4.9997 Å, c = 4.5895 Å
α = 90.00°, β = 90.00°, γ = 90.00°
With the nearest neighbours (Å) after each atom.
Positions (direct):
Co  0.0000  0.0000  0.5000  2 Au 2.29
Co  0.5000  0.0000  0.0000  2 Au 2.29
Au  0.0000  0.0000  0.0000  4 Co 2.29, 2 Ir 2.50
As  0.5000  0.5000  0.5000  4 Ir 3.25, 8 Co 3.39
Ir  0.0000  0.5000  0.0000  2 Au 2.50

=====

Entry 3:
DFT (PBE) results for a geometry-optimized KCoAsAu structure.

Properties
formation energy from the elements	-0.337	eV per atom
space-group type	P4/nmm (129)

a = 3.8542 Å, b = 3.8542 Å, c = 12.2980 Å
α = 90.00°, β = 90.00°, γ = 90.00°
With the nearest neighbours (Å) after each atom.
Positions (direct):
K  0.7500  0.7500  0.2682  4 As 3.38, 4 Au 3.44
Co  0.7500  0.2500  0.0000  4 As 2.32
Au  0.7500  0.2500  0.5000  4 Au 2.73
As  0.2500  0.2500  0.1053  4 Co 2.32
K  0.2500  0.2500  0.7318  4 As 3.38, 4 Au 3.44
Au  0.2500  0.7500  0.5000  4 Au 2.73
As  0.7500  0.7500  0.8947  4 Co 2.32
Co  0.2500  0.7500  0.0000  4 As 2.32

=====

Entry 4:
DFT (PBE) results for a geometry-optimized Co2NiAsAu structure.

Properties
formation energy from the elements	1.582	eV per atom
space-group type	P4/mmm (123)

a = 4.7119 Å, b = 4.8010 Å, c = 4.7119 Å
α = 90.00°, β = 90.00°, γ = 90.00°
With the nearest neighbours (Å) after each atom.
Positions (direct):
Ni  0.5000  0.5000  0.5000  4 As 3.33, 8 Co 3.36
Co  0.5000  0.0000  0.0000  2 Au 2.36
Co  0.0000  0.0000  0.5000  2 Au 2.36
As  0.0000  0.5000  0.0000  2 Au 2.40
Au  0.0000  0.0000  0.0000  4 Co 2.36, 2 As 2.40

=====

Entry 5:
DFT (PBE) results for a geometry-optimized RbCo2AsAu structure.

Properties
formation energy from the elements	2.314	eV per atom
space-group type	P4/mmm (123)

a = 4.6071 Å, b = 5.6372 Å, c = 4.6071 Å
α = 90.00°, β = 90.00°, γ = 90.00°
With the nearest neighbours (Å) after each atom.
Positions (direct):
Co  0.5000  0.0000  0.0000  2 Rb 2.30
As  0.0000  0.5000  0.0000  2 Rb 2.82
Rb  0.0000  0.0000  0.0000  4 Co 2.30
Au  0.5000  0.5000  0.5000  4 As 3.26, 8 Co 3.64
Co  0.0000  0.0000  0.5000  2 Rb 2.30

=====

Entry 6:
DFT (PBE) results for a geometry-optimized CoAsAuSe2 structure.

Properties
raw formation energy	0.48	eV/atom
polymorph energy (0 for the lowest one)	0.000	eV per atom
space-group type	P4/mmm (123)

a = 4.8126 Å, b = 4.8126 Å, c = 4.3548 Å
α = 90.00°, β = 90.00°, γ = 90.00°
With the nearest neighbours (Å) after each atom.
Positions (direct):
Au  0.5000  0.5000  0.5000  8 Se 3.25, 4 As 3.40
Se  0.5000  0.0000  0.0000  2 Co 2.41
Co  0.0000  0.0000  0.0000  2 As 2.18, 4 Se 2.41
As  0.0000  0.0000  0.5000  2 Co 2.18
Se  0.0000  0.5000  0.0000  2 Co 2.41

=====

For each record above, in turn, the calculated M_tot values are 0.000, 4.857, 0.000, 4.684, 3.159, 0.000 μB per formula unit.